[1]
DFT (GGA-PBE) results for Ta3Sb after structural relaxation.

Output
SG ... Pm-3m
Polymorph energy (0 for the lowest one) ... 2961.8 meV/atom
Raw formation energy ... 276 kJ per mole of atoms
V ... 133 Å³/f.u.

Cell: 5.101 5.101 5.101 Å, 90.00 90.00 90.00°
Positions (direct):
Sb  0.000  0.000  0.000
Ta  0.500  0.000  0.000
Ta  0.000  0.500  0.000
Ta  0.000  0.000  0.500

---

[2]
DFT (GGA-PBE) results for TaSb2 after structural relaxation.

Output
SG ... Fm-3m
Raw formation energy ... 39 kJ per mole of atoms
V ... 79 Å³/f.u.

Cell: 4.817 4.817 4.817 Å, 60.00 60.00 60.00°
Positions (direct):
Sb  0.750  0.750  0.750
Sb  0.250  0.250  0.250
Ta  0.000  0.000  0.000

---

[3]
DFT (GGA-PBE) results for Ta2Sb after structural relaxation.

Output
SG ... P-62m
Raw formation energy ... 16 kJ per mole of atoms
V ... 58 Å³/f.u.

Cell: 7.703 7.703 3.387 Å, 90.00 90.00 120.00°
Positions (direct):
Ta  0.274  0.000  0.000
Ta  0.000  0.274  0.000
Ta  0.726  0.726  0.000
Ta  0.614  0.000  0.500
Ta  0.000  0.614  0.500
Ta  0.386  0.386  0.500
Sb  0.333  0.667  0.000
Sb  0.667  0.333  0.000
Sb  0.000  0.000  0.500

---

[4]
DFT (GGA-PBE) results for TaSb3 after structural relaxation.

Output
SG ... Immm
Polymorph energy (0 for the lowest one) ... 218.7 meV/atom
Raw formation energy ... 29 kJ per mole of atoms
V ... 104 Å³/f.u.

Cell: 7.062 7.062 7.062 Å, 151.20 141.83 48.51°
Positions (direct):
Sb  0.069  0.069  0.000
Sb  0.750  0.250  0.500
Sb  0.431  0.431  0.000
Ta  0.250  0.750  0.500

---

[5]
DFT (GGA-PBE) results for Ta3Sb after structural relaxation.

Output
SG ... P-6m2
Polymorph energy (0 for the lowest one) ... 373.0 meV/atom
Raw formation energy ... 26 kJ per mole of atoms
V ... 79 Å³/f.u.

Cell: 3.256 3.256 8.633 Å, 90.00 90.00 120.00°
Positions (direct):
Sb  0.000  0.000  0.000
Ta  0.000  0.000  0.500
Ta  0.667  0.333  0.257
Ta  0.667  0.333  0.743

---

[6]
DFT (GGA-PBE) results for TaSb2 after structural relaxation.

Output
SG ... Cm
Raw formation energy ... 15 kJ per mole of atoms
V ... 72 Å³/f.u.

Cell: 5.455 5.455 7.845 Å, 79.68 79.68 38.72°
Positions (direct):
Ta  0.888  0.888  0.410
Ta  0.240  0.240  0.005
Sb  0.949  0.949  0.047
Sb  0.431  0.431  0.673
Sb  0.635  0.635  0.294
Sb  0.691  0.691  0.737

---

[7]
DFT (GGA-PBE) results for Ta4Sb after structural relaxation.

Output
SG ... I4/m
Polymorph energy (0 for the lowest one) ... 0.0 meV/atom
Raw formation energy ... -1 kJ per mole of atoms
V ... 94 Å³/f.u.

Cell: 5.477 5.477 5.477 Å, 95.89 95.89 142.65°
Positions (direct):
Sb  0.000  0.000  0.000
Ta  0.809  0.399  0.208
Ta  0.399  0.191  0.590
Ta  0.191  0.601  0.792
Ta  0.601  0.809  0.410

---

[8]
DFT (GGA-PBE) results for TaSb3 after structural relaxation.

Output
SG ... Cmmm
Polymorph energy (0 for the lowest one) ... 405.7 meV/atom
Raw formation energy ... 47 kJ per mole of atoms
V ... 93 Å³/f.u.

Cell: 5.134 5.134 3.595 Å, 90.00 90.00 101.99°
Positions (direct):
Sb  0.000  0.500  0.500
Sb  0.500  0.000  0.500
Sb  0.500  0.500  0.000
Ta  0.000  0.000  0.000

---

[9]
DFT (GGA-PBE) results for TaSb2 after structural relaxation.

Output
SG ... P-62m
Raw formation energy ... 4 kJ per mole of atoms
V ... 67 Å³/f.u.

Cell: 7.929 7.929 3.673 Å, 90.00 90.00 120.00°
Positions (direct):
Ta  0.333  0.667  0.000
Ta  0.667  0.333  0.000
Ta  0.000  0.000  0.500
Sb  0.275  0.000  0.000
Sb  0.000  0.275  0.000
Sb  0.725  0.725  0.000
Sb  0.618  0.000  0.500
Sb  0.000  0.618  0.500
Sb  0.382  0.382  0.500

---

[10]
DFT (GGA-PBE) results for TaSb2 after structural relaxation.

Output
SG ... Cmcm
Raw formation energy ... 21 kJ per mole of atoms
V ... 65 Å³/f.u.

Cell: 7.296 7.296 5.038 Å, 90.00 90.00 150.95°
Positions (direct):
Ta  0.100  0.900  0.750
Ta  0.900  0.100  0.250
Sb  0.763  0.237  0.750
Sb  0.438  0.562  0.750
Sb  0.237  0.763  0.250
Sb  0.562  0.438  0.250

---

[11]
DFT (GGA-PBE) results for TaSb3 after structural relaxation.

Output
SG ... Pmmn
Polymorph energy (0 for the lowest one) ... 176.3 meV/atom
Raw formation energy ... 25 kJ per mole of atoms
V ... 98 Å³/f.u.

Cell: 4.744 5.779 7.151 Å, 90.00 90.00 90.00°
Positions (direct):
Ta  0.000  0.000  0.742
Ta  0.500  0.500  0.258
Sb  0.500  0.000  0.451
Sb  0.000  0.500  0.549
Sb  0.000  0.756  0.143
Sb  0.000  0.244  0.143
Sb  0.500  0.256  0.857
Sb  0.500  0.744  0.857

---

[12]
DFT (GGA-PBE) results for Ta3Sb after structural relaxation.

Output
SG ... P4/mmm
Polymorph energy (0 for the lowest one) ... 445.0 meV/atom
Raw formation energy ... 33 kJ per mole of atoms
V ... 78 Å³/f.u.

Cell: 2.950 2.950 8.966 Å, 90.00 90.00 90.00°
Positions (direct):
Sb  0.000  0.000  0.000
Ta  0.500  0.500  0.752
Ta  0.000  0.000  0.500
Ta  0.500  0.500  0.248